1.
A plane-wave DFT calculation with PBE-GGA was carried out for crystalline Pu2Si12Pt7 at its relaxed geometry.

Unit cell a=4.060 b=9.945 c=9.945 alpha=120.00 beta=90.00 gamma=90.00
Site moments in Bohr magnetons follow the coordinates.
Element x y z (fractional)
Si 0.725 0.082 0.443  -0.01
Pu 0.731 0.667 0.333  5.29
Pu 0.269 0.333 0.667  5.29
Pt 0.794 0.603 0.912  -0.03
Si 0.276 0.133 0.266  -0.01
Si 0.724 0.867 0.734  -0.01
Pt 0.794 0.088 0.691  -0.03
Pt 0.206 0.912 0.309  -0.03
Pt 0.206 0.397 0.088  -0.03
Pt 0.500 0.000 0.000  -0.01
Si 0.275 0.443 0.360  -0.01
Si 0.276 0.134 0.867  -0.01
Si 0.724 0.866 0.133  -0.01
Si 0.275 0.918 0.557  -0.01
Si 0.275 0.640 0.082  -0.01
Si 0.725 0.557 0.640  -0.01
Si 0.725 0.360 0.918  -0.01
Si 0.724 0.266 0.134  -0.01
Pt 0.206 0.691 0.603  -0.03
Pt 0.794 0.309 0.397  -0.03
Si 0.276 0.734 0.866  -0.01

Results
Total DFT energy (no corrections) in eV per atom: -7.001
Formation energy from raw total energies in eV per atom: -0.52
Spin magnetization in μB/f.u.: 10.6
Space group: P-3 (147)

---

2.
A plane-wave DFT calculation with PBE-GGA was carried out for crystalline LiMnSn2 at its relaxed geometry.

Unit cell a=4.451 b=4.451 c=9.740 alpha=76.79 beta=76.79 gamma=90.00
Site moments in Bohr magnetons follow the coordinates.
Element x y z (fractional)
Mn 0.750 0.250 0.500  3.83
Sn 0.626 0.125 0.250  -0.07
Li 0.250 0.750 0.500  0.00
Sn 0.375 0.374 0.750  -0.07
Sn 0.875 0.876 0.750  -0.07
Li 0.500 0.500 0.000  0.00
Mn 0.000 0.000 0.000  3.83
Sn 0.124 0.625 0.250  -0.07

Results
Total DFT energy (no corrections) in eV per atom: -4.623
Energy above the lowest structure with this stoichiometry in eV per formula unit: 0.866
Spin magnetization in μB/f.u.: 4.0
Formation enthalpy at 0 K in eV per atom: 0.1491
Space group: I-42d (122)

---

3.
A plane-wave DFT calculation with PBE-GGA was carried out for crystalline ZrAl at its relaxed geometry.

Unit cell a=3.192 b=3.192 c=9.322 alpha=90.00 beta=90.00 gamma=120.00
Element x y z (fractional)
Zr 0.000 0.000 0.489
Al 0.667 0.333 0.236
Zr 0.667 0.333 0.761
Al 0.000 0.000 0.014

Results
Total DFT energy (no corrections) in eV per atom: -6.262
Spin magnetization in μB/f.u.: 0.0
Formation enthalpy at 0 K in eV per atom: -0.1169
Space group: P-3m1 (164)

---

4.
A plane-wave DFT calculation with PBE-GGA was carried out for crystalline Ca2Zn5Ag12 at its relaxed geometry.

Unit cell a=7.195 b=7.195 c=7.195 alpha=82.35 beta=82.35 gamma=82.35
Element x y z (fractional)
Zn 0.000 0.000 0.500
Ag 0.341 0.858 0.341
Ag 0.000 0.304 0.696
Zn 0.500 0.000 0.000
Ag 0.341 0.341 0.858
Ag 0.659 0.142 0.659
Zn 0.099 0.099 0.099
Ag 0.696 0.304 0.000
Zn 0.901 0.901 0.901
Ag 0.696 0.000 0.304
Ca 0.347 0.347 0.347
Ag 0.304 0.696 0.000
Ag 0.142 0.659 0.659
Ca 0.653 0.653 0.653
Ag 0.000 0.696 0.304
Ag 0.858 0.341 0.341
Zn 0.000 0.500 0.000
Ag 0.304 0.000 0.696
Ag 0.659 0.659 0.142

Results
Total DFT energy (no corrections) in eV per atom: -2.480
Spin magnetization in μB/f.u.: 0.0
Formation enthalpy at 0 K in eV per atom: -0.1330
Space group: R-3m (166)

---

5.
A plane-wave DFT calculation with PBE-GGA was carried out for crystalline AlP2Pt at its relaxed geometry.

Unit cell a=3.979 b=3.979 c=6.195 alpha=66.95 beta=66.95 gamma=48.25
Element x y z (fractional)
P 0.685 0.685 0.719
Pt 0.479 0.479 0.513
P 0.075 0.075 0.009
Al 0.261 0.261 0.258

Results
Total DFT energy (no corrections) in eV per atom: -5.433
Spin magnetization in μB/f.u.: 0.0
Formation enthalpy at 0 K in eV per atom: -0.2822
Space group: Cm (8)

---

6.
A plane-wave DFT calculation with PBE-GGA was carried out for crystalline LaDy2Cd2In2 at its relaxed geometry.

Unit cell a=4.996 b=4.996 c=9.471 alpha=74.71 beta=74.71 gamma=60.00
Element x y z (fractional)
In 0.739 0.739 0.783
In 0.261 0.261 0.217
La 0.000 0.000 0.000
Dy 0.868 0.868 0.396
Cd 0.420 0.420 0.740
Cd 0.580 0.580 0.260
Dy 0.132 0.132 0.604

Results
Total DFT energy (no corrections) in eV per atom: -3.354
Spin magnetization in μB/f.u.: 0.0
Formation enthalpy at 0 K in eV per atom: -0.2915
Space group: R-3m (166)

---

7.
A plane-wave DFT calculation with PBE-GGA was carried out for crystalline ErSc2GaC at its relaxed geometry.

Unit cell a=4.772 b=4.510 c=4.510 alpha=90.00 beta=90.00 gamma=90.00
Element x y z (fractional)
Ga 0.500 0.500 0.500
C 0.000 0.000 0.000
Sc 0.000 0.500 0.000
Er 0.500 0.000 0.000
Sc 0.000 0.000 0.500

Results
Total DFT energy (no corrections) in eV per atom: -6.496
Spin magnetization in μB/f.u.: 0.0
Formation enthalpy at 0 K in eV per atom: -0.6010
Space group: P4/mmm (123)

---

8.
A plane-wave DFT calculation with PBE-GGA was carried out for crystalline KIrSe2 at its relaxed geometry.

Unit cell a=4.799 b=6.394 c=8.525 alpha=71.92 beta=75.25 gamma=68.02
Element x y z (fractional)
Se 0.843 0.384 0.922
K 0.281 0.738 0.667
Se 0.575 0.074 0.751
K 0.719 0.262 0.333
Se 0.425 0.926 0.249
Ir 0.380 0.244 0.995
Se 0.157 0.616 0.078
Ir 0.620 0.756 0.005

Results
Total DFT energy (no corrections) in eV per atom: -4.701
Formation energy from raw total energies in eV per atom: -0.47
Spin magnetization in μB/f.u.: 0.0
Space group: P-1 (2)

---

9.
A plane-wave DFT calculation with PBE-GGA was carried out for crystalline HfCoBr3 at its relaxed geometry.

Unit cell a=4.834 b=4.834 c=4.834 alpha=90.00 beta=90.00 gamma=90.00
Site moments in Bohr magnetons follow the coordinates.
Element x y z (fractional)
Br 0.000 0.500 0.000  0.00
Co 0.000 0.000 0.000  0.71
Br 0.500 0.000 0.000  0.00
Hf 0.500 0.500 0.500  1.03
Br 0.000 0.000 0.500  0.00

Results
Total DFT energy (no corrections) in eV per atom: -4.004
Formation energy from raw total energies in eV per atom: 0.41
Energy above the lowest structure with this stoichiometry in eV per formula unit: 1.279
Spin magnetization in μB/f.u.: 2.4
Space group: Pm-3m (221)

---

10.
A plane-wave DFT calculation with PBE-GGA was carried out for crystalline TiMnSbRh at its relaxed geometry.

Unit cell a=4.411 b=4.411 c=4.411 alpha=60.00 beta=60.00 gamma=60.00
Site moments in Bohr magnetons follow the coordinates.
Element x y z (fractional)
Sb 0.750 0.750 0.750  -0.01
Ti 0.250 0.250 0.250  -0.25
Rh 0.500 0.500 0.500  0.22
Mn 0.000 0.000 0.000  1.05

Results
Total DFT energy (no corrections) in eV per atom: -7.475
Formation energy from raw total energies in eV per atom: -0.34
Spin magnetization in μB/f.u.: 1.0
Space group: F-43m (216)

---

11.
A plane-wave DFT calculation with PBE-GGA was carried out for crystalline InSe2I at its relaxed geometry.

Unit cell a=7.424 b=7.424 c=7.259 alpha=59.25 beta=59.25 gamma=90.00
Element x y z (fractional)
Se 0.179 0.625 0.250
In 0.500 0.500 0.000
Se 0.571 0.125 0.250
Se 0.375 0.429 0.750
I 0.750 0.250 0.500
I 0.000 0.000 0.000
In 0.250 0.750 0.500
Se 0.875 0.821 0.750

Results
Total DFT energy (no corrections) in eV per atom: -2.801
Formation energy from raw total energies in eV per atom: 0.01
Energy above the lowest structure with this stoichiometry in eV per formula unit: 1.174
Spin magnetization in μB/f.u.: 0.0
Space group: I-42d (122)

---

12.
A plane-wave DFT calculation with PBE-GGA was carried out for crystalline ScTa2Mo at its relaxed geometry.

Unit cell a=5.529 b=5.529 c=5.529 alpha=145.40 beta=129.23 gamma=62.90
Element x y z (fractional)
Ta 0.005 0.005 0.000
Sc 0.735 0.235 0.500
Ta 0.270 0.770 0.500
Mo 0.489 0.489 0.000

Results
Total DFT energy (no corrections) in eV per atom: -10.140
Energy above the lowest structure with this stoichiometry in eV per formula unit: 0.081
Spin magnetization in μB/f.u.: 0.0
Formation enthalpy at 0 K in eV per atom: 0.0769
Space group: Imm2 (44)